No. 1
A geometry-optimized Y2AlRe structure, computed with PBE.

abc: 6.4001 6.4001 6.4001
angles: 101.91 101.91 125.96
Atoms (fractional coordinates):
Y1 0.0873 0.6250 0.9623
Y2 0.3750 0.3373 0.4623
Y3 0.6627 0.1250 0.0377
Y4 0.8750 0.9127 0.5377
Al1 0.2500 0.7500 0.5000
Al2 0.5000 0.5000 0.0000
Re1 0.0000 0.0000 0.0000
Re2 0.7500 0.2500 0.5000

Output
- volume (Å³/atom) = 23.63
- E (Ry per atom) = -0.499
- space-group type = I-42d, No. 122
- DOS at the Fermi energy (states/eV/atom) = 0.519
- ΔE_f (meV per atom) = 484

=====

No. 2
A geometry-optimized HgHPt3 structure, computed with PBE.

abc: 4.1207 4.1207 4.1207
angles: 90.00 90.00 90.00
Atoms (fractional coordinates):
Hg1 0.0000 0.0000 0.0000
H1 0.5000 0.5000 0.5000
Pt1 0.0000 0.5000 0.5000
Pt2 0.5000 0.0000 0.5000
Pt3 0.5000 0.5000 0.0000

Output
- volume (Å³/atom) = 13.99
- E (Ry per atom) = -0.316
- space-group type = Pm-3m, No. 221
- DOS at the Fermi energy (states/eV/atom) = 0.916

=====

No. 3
A geometry-optimized La2Al4CuPt3 structure, computed with PBE.

abc: 4.3752 4.3752 10.2598
angles: 90.00 90.00 90.00
Atoms (fractional coordinates):
La1 0.0000 0.5000 0.2481
La2 0.5000 0.0000 0.7519
Al1 0.0000 0.0000 0.5000
Al2 0.0000 0.5000 0.8786
Al3 0.5000 0.0000 0.1214
Al4 0.5000 0.5000 0.5000
Cu1 0.5000 0.5000 0.0000
Pt1 0.0000 0.0000 0.0000
Pt2 0.0000 0.5000 0.6321
Pt3 0.5000 0.0000 0.3679

Output
- volume (Å³/atom) = 19.64
- E (Ry per atom) = -0.417
- space-group type = P-4m2, No. 115
- DOS at the Fermi energy (states/eV/atom) = 1.007
- ΔE_f (meV per atom) = -966